First-principles (PBE-GGA) data for a relaxed TmZrCuRu crystal, as listed in Alexandria.

Calculated values
For the spin magnetization, the calculation gives 0.0 μB per formula unit. For the total DFT energy (no corrections), the calculation gives -111.27 eV per cell.

Unit cell a=6.668 b=6.668 c=6.668 alpha=90.00 beta=90.00 gamma=90.00
Space group F-43m (No. 216)
Unique sites:
Tm (0.000, 0.000, 0.000)
Zr (0.000, 0.000, 0.500)
Cu (0.250, 0.250, 0.750)
Ru (0.250, 0.250, 0.250)